First-principles (SCAN) data for YS2N2 at its PBEsol-relaxed geometry, as listed in Alexandria via LeMat-Bulk.

abc: 3.994 3.994 4.045
angles: 90.00 90.00 90.00
Atoms (fractional coordinates):
N (0.000, 0.000, 0.500)
N (0.000, 0.000, 0.000)
Y (0.500, 0.500, 0.500)
S (0.500, 0.000, 0.000)
S (0.000, 0.500, 0.000)

Total energy in eV per atom: -12.7327
Total magnetization in μB/atom: 0.00

First-principles (SCAN) data for KCoOF2 at its PBEsol-relaxed geometry, as listed in Alexandria via LeMat-Bulk.

abc: 3.566 4.110 4.110
angles: 90.00 90.00 90.00
Atoms (fractional coordinates):
Co (0.000, 0.000, 0.000)
O (0.500, 0.000, 0.000)
F (0.000, 0.500, 0.000)
F (0.000, 0.000, 0.500)
K (0.500, 0.500, 0.500)

Total energy in eV per atom: -9.9505
Total magnetization in μB/atom: 0.62

First-principles (SCAN) data for Bi12Cl5O16 at its PBEsol-relaxed geometry, as listed in Alexandria via LeMat-Bulk.

abc: 3.904 9.800 15.244
angles: 92.11 97.36 90.00
Atoms (fractional coordinates):
O (0.895, 0.281, 0.790)
O (0.982, 0.860, 0.963)
O (0.018, 0.140, 0.037)
O (0.223, 0.548, 0.446)
O (0.457, 0.212, 0.915)
O (0.543, 0.788, 0.085)
O (0.575, 0.068, 0.150)
O (0.135, 0.993, 0.270)
O (0.425, 0.932, 0.850)
O (0.865, 0.007, 0.730)
O (0.339, 0.366, 0.678)
O (0.105, 0.719, 0.210)
O (0.661, 0.634, 0.322)
O (0.317, 0.092, 0.634)
O (0.683, 0.908, 0.366)
O (0.777, 0.452, 0.554)
Bi (0.532, 0.248, 0.063)
Bi (0.178, 0.785, 0.357)
Bi (0.060, 0.933, 0.120)
Bi (0.822, 0.215, 0.643)
Bi (0.348, 0.902, 0.697)
Bi (0.652, 0.098, 0.303)
Bi (0.703, 0.447, 0.405)
Bi (0.412, 0.390, 0.823)
Bi (0.297, 0.553, 0.595)
Bi (0.940, 0.067, 0.880)
Bi (0.588, 0.610, 0.177)
Bi (0.468, 0.752, 0.937)
Cl (0.113, 0.363, 0.226)
Cl (0.887, 0.637, 0.774)
Cl (0.223, 0.213, 0.447)
Cl (0.000, 0.500, 0.000)
Cl (0.777, 0.787, 0.553)

Total energy in eV per atom: -33.9539
Total magnetization in μB/atom: 0.00

First-principles (SCAN) data for Be4Co at its PBEsol-relaxed geometry, as listed in Alexandria via LeMat-Bulk.

abc: 2.593 4.149 4.149
angles: 84.40 71.79 71.79
Atoms (fractional coordinates):
Co (0.000, 0.000, 0.000)
Be (0.602, 0.198, 0.598)
Be (0.800, 0.598, 0.802)
Be (0.200, 0.402, 0.198)
Be (0.398, 0.802, 0.402)

Calculated formation energy in meV per atom: -186
Total energy in eV per atom: -7.1301
Total magnetization in μB/atom: 0.04

First-principles (SCAN) data for BaMoPdRu2 at its PBEsol-relaxed geometry, as listed in Alexandria via LeMat-Bulk.

abc: 4.690 4.904 4.904
angles: 90.00 90.00 90.00
Atoms (fractional coordinates):
Mo (0.500, 0.000, 0.000)
Ba (0.500, 0.500, 0.500)
Pd (0.000, 0.000, 0.000)
Ru (0.000, 0.000, 0.500)
Ru (0.000, 0.500, 0.000)

Calculated formation energy in meV per atom: 1476
Total energy in eV per atom: -33.8960
Total magnetization in μB/atom: 1.15

First-principles (SCAN) data for Dy4MnSe7 at its PBEsol-relaxed geometry, as listed in Alexandria via LeMat-Bulk.

abc: 3.909 6.739 11.770
angles: 104.57 90.00 106.86
Atoms (fractional coordinates):
Se (0.965, 0.930, 0.233)
Se (0.528, 0.056, 0.520)
Se (0.333, 0.666, 0.945)
Se (0.731, 0.461, 0.348)
Se (0.262, 0.525, 0.639)
Se (0.031, 0.062, 0.787)
Se (0.657, 0.315, 0.045)
Dy (0.686, 0.371, 0.789)
Dy (0.994, 0.988, 0.008)
Dy (0.891, 0.781, 0.564)
Dy (0.300, 0.600, 0.196)
Mn (0.122, 0.245, 0.425)

Total energy in eV per atom: -31.0485
Total magnetization in μB/atom: 0.42

First-principles (SCAN) data for TaSiSb2 at its PBEsol-relaxed geometry, as listed in Alexandria via LeMat-Bulk.

abc: 3.428 4.688 5.008
angles: 90.00 90.00 90.00
Atoms (fractional coordinates):
Sb (0.000, 0.000, 0.000)
Sb (0.500, 0.000, 0.500)
Si (0.500, 0.500, 0.000)
Ta (0.000, 0.500, 0.500)

Total energy in eV per atom: -37.0941
Total magnetization in μB/atom: 0.00

First-principles (SCAN) data for Mg3Sc at its PBEsol-relaxed geometry, as listed in Alexandria via LeMat-Bulk.

abc: 3.112 5.622 6.139
angles: 117.25 104.68 90.00
Atoms (fractional coordinates):
Sc (0.000, 0.329, 0.000)
Mg (0.249, 0.256, 0.498)
Mg (0.500, 0.824, 0.000)
Mg (0.751, 0.758, 0.502)

Calculated formation energy in meV per atom: 6
Total energy in eV per atom: -7.2839
Total magnetization in μB/atom: 0.12

First-principles (SCAN) data for K6Sb2H18S8O9 at its PBEsol-relaxed geometry, as listed in Alexandria via LeMat-Bulk.

abc: 7.681 12.897 13.434
angles: 92.46 90.00 90.00
Atoms (fractional coordinates):
S (0.332, 0.933, 0.167)
S (0.917, 0.743, 0.487)
S (0.995, 0.338, 0.878)
S (0.420, 0.261, 0.010)
S (0.079, 0.710, 0.271)
S (0.581, 0.294, 0.227)
S (0.164, 0.069, 0.830)
S (0.580, 0.261, 0.510)
S (0.497, 0.660, 0.618)
S (0.503, 0.660, 0.118)
S (0.083, 0.743, 0.987)
S (0.836, 0.069, 0.330)
S (0.419, 0.294, 0.727)
S (0.921, 0.710, 0.771)
S (0.005, 0.338, 0.378)
S (0.668, 0.933, 0.667)
H (0.083, 0.601, 0.488)
H (0.136, 0.820, 0.571)
H (0.064, 0.302, 0.535)
H (0.307, 0.708, 0.368)
H (0.337, 0.521, 0.118)
H (0.888, 0.992, 0.581)
H (0.334, 0.801, 0.591)
H (0.702, 0.403, 0.594)
H (0.617, 0.009, 0.416)
H (0.806, 0.291, 0.129)
H (0.693, 0.708, 0.868)
H (0.785, 0.598, 0.413)
H (0.366, 0.181, 0.428)
H (0.168, 0.197, 0.406)
H (0.563, 0.697, 0.962)
H (0.922, 0.481, 0.963)
H (0.821, 0.479, 0.392)
H (0.582, 0.945, 0.513)
H (0.179, 0.479, 0.892)
H (0.298, 0.403, 0.094)
H (0.437, 0.697, 0.462)
H (0.666, 0.801, 0.091)
H (0.418, 0.945, 0.013)
H (0.194, 0.291, 0.629)
H (0.078, 0.055, 0.984)
H (0.832, 0.197, 0.906)
H (0.078, 0.481, 0.463)
H (0.864, 0.820, 0.071)
H (0.922, 0.055, 0.484)
H (0.383, 0.009, 0.916)
H (0.634, 0.181, 0.928)
H (0.936, 0.302, 0.035)
H (0.112, 0.992, 0.081)
H (0.215, 0.598, 0.913)
H (0.663, 0.521, 0.618)
H (0.917, 0.601, 0.988)
O (0.470, 0.962, 0.947)
O (0.026, 0.038, 0.050)
O (0.253, 0.537, 0.871)
O (0.930, 0.292, 0.108)
O (0.530, 0.962, 0.447)
O (0.569, 0.710, 0.890)
O (0.974, 0.038, 0.550)
O (0.756, 0.857, 0.093)
O (0.244, 0.857, 0.593)
O (0.431, 0.710, 0.390)
O (0.846, 0.537, 0.991)
O (0.741, 0.463, 0.637)
O (0.741, 0.143, 0.905)
O (0.259, 0.463, 0.137)
O (0.747, 0.537, 0.371)
O (0.154, 0.537, 0.491)
O (0.070, 0.292, 0.608)
O (0.259, 0.143, 0.405)
Sb (0.257, 0.240, 0.863)
Sb (0.753, 0.759, 0.635)
Sb (0.247, 0.759, 0.135)
Sb (0.743, 0.240, 0.363)
K (0.594, 0.501, 0.834)
K (0.197, 0.930, 0.393)
K (0.914, 0.495, 0.187)
K (0.820, 0.183, 0.695)
K (0.406, 0.501, 0.334)
K (0.803, 0.930, 0.893)
K (0.692, 0.069, 0.105)
K (0.180, 0.183, 0.195)
K (0.086, 0.495, 0.687)
K (0.322, 0.817, 0.800)
K (0.678, 0.817, 0.300)
K (0.308, 0.069, 0.605)

Total energy in eV per atom: -8.4822
Total magnetization in μB/atom: 0.00

First-principles (SCAN) data for BeAlCl2 at its PBEsol-relaxed geometry, as listed in Alexandria via LeMat-Bulk.

abc: 2.985 3.260 9.466
angles: 111.79 90.00 90.00
Atoms (fractional coordinates):
Cl (0.000, 0.511, 0.155)
Cl (0.000, 0.489, 0.845)
Be (0.500, 0.500, 0.000)
Al (0.500, 0.000, 0.500)

Total energy in eV per atom: -7.4545
Energy above the lowest structure with this stoichiometry in eV/atom: 0.000
Total magnetization in μB/atom: 0.00

First-principles (SCAN) data for Tl2WAu at its PBEsol-relaxed geometry, as listed in Alexandria via LeMat-Bulk.

abc: 3.514 3.514 6.306
angles: 90.00 90.00 90.00
Atoms (fractional coordinates):
Au (0.500, 0.500, 0.500)
Tl (0.000, 0.000, 0.758)
Tl (0.000, 0.000, 0.242)
W (0.500, 0.500, 0.000)

Calculated formation energy in meV per atom: 1007
Total energy in eV per atom: -69.8835
Total magnetization in μB/atom: 0.00

First-principles (SCAN) data for Hf2BiBrN at its PBEsol-relaxed geometry, as listed in Alexandria via LeMat-Bulk.

abc: 5.745 5.476 5.476
angles: 90.00 90.00 90.00
Atoms (fractional coordinates):
Hf (0.000, 0.000, 0.500)
Hf (0.000, 0.500, 0.000)
Bi (0.000, 0.000, 0.000)
Br (0.500, 0.000, 0.000)
N (0.500, 0.500, 0.500)

Total energy in eV per atom: -44.3621
Total magnetization in μB/atom: 0.21

First-principles (SCAN) data for LiPd3 at its PBEsol-relaxed geometry, as listed in Alexandria via LeMat-Bulk.

abc: 3.815 3.815 3.815
angles: 90.00 90.00 90.00
Atoms (fractional coordinates):
Pd (0.500, 0.500, 0.000)
Pd (0.000, 0.500, 0.500)
Pd (0.500, 0.000, 0.500)
Li (0.000, 0.000, 0.000)

Calculated formation energy in meV per atom: -265
Total energy in eV per atom: -25.4428
Total magnetization in μB/atom: 0.00

First-principles (SCAN) data for Ga2IrF at its PBEsol-relaxed geometry, as listed in Alexandria via LeMat-Bulk.

abc: 4.262 4.262 4.262
angles: 60.00 60.00 60.00
Atoms (fractional coordinates):
Ir (0.500, 0.500, 0.500)
F (0.000, 0.000, 0.000)
Ga (0.750, 0.750, 0.750)
Ga (0.250, 0.250, 0.250)

Total energy in eV per atom: -27.3913
Total magnetization in μB/atom: 0.00

First-principles (SCAN) data for CaFe3O5 at its PBEsol-relaxed geometry, as listed in Alexandria via LeMat-Bulk.

abc: 3.018 4.951 12.506
angles: 90.00 90.00 107.74
Atoms (fractional coordinates):
Ca (0.488, 0.976, 0.750)
Ca (0.512, 0.024, 0.250)
Fe (0.741, 0.481, 0.895)
Fe (0.000, 0.000, 0.500)
Fe (0.259, 0.519, 0.395)
Fe (0.000, 0.000, 0.000)
Fe (0.741, 0.481, 0.605)
Fe (0.259, 0.519, 0.105)
O (0.621, 0.242, 0.047)
O (0.099, 0.199, 0.869)
O (0.901, 0.801, 0.131)
O (0.379, 0.758, 0.547)
O (0.808, 0.616, 0.750)
O (0.901, 0.801, 0.369)
O (0.379, 0.758, 0.953)
O (0.099, 0.199, 0.631)
O (0.192, 0.384, 0.250)
O (0.621, 0.242, 0.453)

Total energy in eV per atom: -12.4872
Total magnetization in μB/atom: 1.11

First-principles (SCAN) data for CoAgSe at its PBEsol-relaxed geometry, as listed in Alexandria via LeMat-Bulk.

abc: 4.174 4.174 4.174
angles: 60.00 60.00 60.00
Atoms (fractional coordinates):
Co (0.500, 0.500, 0.500)
Ag (0.000, 0.000, 0.000)
Se (0.750, 0.750, 0.750)

Total energy in eV per atom: -22.5259
Energy above the lowest structure with this stoichiometry in eV/atom: 0.132
Total magnetization in μB/atom: 0.68

First-principles (SCAN) data for ZrMo2Pt at its PBEsol-relaxed geometry, as listed in Alexandria via LeMat-Bulk.

abc: 2.757 4.060 5.926
angles: 90.00 90.00 90.00
Atoms (fractional coordinates):
Mo (0.000, 0.000, 0.777)
Mo (0.000, 0.000, 0.223)
Zr (0.500, 0.500, 0.500)
Pt (0.500, 0.500, 0.000)

Calculated formation energy in meV per atom: 31
Total energy in eV per atom: -42.6350
Energy above the lowest structure with this stoichiometry in eV/atom: 0.369
Total magnetization in μB/atom: 0.00

First-principles (SCAN) data for Cd2PtPb at its PBEsol-relaxed geometry, as listed in Alexandria via LeMat-Bulk.

abc: 3.046 4.579 7.023
angles: 109.03 102.52 90.00
Atoms (fractional coordinates):
Cd (0.242, 0.742, 0.483)
Cd (0.068, 0.068, 0.135)
Pb (0.441, 0.441, 0.882)
Pt (0.749, 0.249, 0.499)

Calculated formation energy in meV per atom: -164
Total energy in eV per atom: -51.8643
Total magnetization in μB/atom: 0.00

First-principles (SCAN) data for Zr2MoRh at its PBEsol-relaxed geometry, as listed in Alexandria via LeMat-Bulk.

abc: 3.365 4.446 5.456
angles: 114.04 107.96 90.00
Atoms (fractional coordinates):
Zr (0.993, 0.493, 0.986)
Zr (0.757, 0.757, 0.513)
Rh (0.245, 0.245, 0.490)
Mo (0.505, 0.005, 0.010)

Calculated formation energy in meV per atom: -338
Total energy in eV per atom: -32.8517
Total magnetization in μB/atom: 0.00

First-principles (SCAN) data for TbCoSn2 at its PBEsol-relaxed geometry, as listed in Alexandria via LeMat-Bulk.

abc: 4.296 4.399 9.260
angles: 90.00 103.41 90.00
Atoms (fractional coordinates):
Co (0.320, 0.750, 0.640)
Co (0.680, 0.250, 0.360)
Tb (0.114, 0.750, 0.228)
Tb (0.886, 0.250, 0.772)
Sn (0.749, 0.750, 0.497)
Sn (0.251, 0.250, 0.503)
Sn (0.548, 0.250, 0.095)
Sn (0.452, 0.750, 0.905)

Calculated formation energy in meV per atom: -403
Total energy in eV per atom: -34.3806
Total magnetization in μB/atom: 0.00